Rb2Ca3NiF12: relaxed, GGA+U.

abc: 7.831 7.831 7.831
angles: 60.01 60.01 60.01
Fractional positions:
1 Rb 0.388 0.388 0.388
2 Rb 0.612 0.612 0.612
3 F 0.655 0.655 0.070
4 F 0.271 0.944 0.944
5 F 0.345 0.345 0.930
6 F 0.944 0.944 0.271
7 F 0.345 0.930 0.345
8 F 0.655 0.070 0.655
9 F 0.056 0.056 0.729
10 F 0.056 0.729 0.056
11 F 0.070 0.655 0.655
12 F 0.930 0.345 0.345
13 F 0.729 0.056 0.056
14 F 0.944 0.271 0.944
15 Ca 0.500 0.000 0.000
16 Ca 0.000 0.000 0.500
17 Ca 0.000 0.500 0.000
18 Ni 0.000 0.000 0.000

**Final energy**: -86.04 eV for the cell shown
**Symmetry**: R-3m, No. 166
**Calculated volume**: 339.7 Å³ per cell